No. 1
Crystalline FeRhPb at its relaxed geometry, computed with PBE.

Properties
As for the formation energy: 0.35 eV per atom. The value obtained for the spin magnetization is 3.1 μB/f.u. The calculation puts the energy relative to the lowest polymorph listed for this composition at 0.105 eV per atom. As for the raw total energy: -18.479 eV per cell.

abc: 4.398 4.398 3.101
angles: 90.00 90.00 120.00
Last column: magnetic moment on the atom in μB.
Sites, in units of the cell vectors:
1 Fe 0.000 0.000 0.961  2.82
2 Pb 0.667 0.333 0.329  -0.04
3 Rh 0.333 0.667 0.710  0.35


No. 2
Crystalline MnCuCSeN at its relaxed geometry, computed with PBE.

Properties
The value obtained for the spin magnetization is 1.9 μB/f.u. The calculation puts the energy relative to the lowest polymorph listed for this composition at 0.000 eV per atom. As for the raw total energy: -33.748 eV per cell.

abc: 2.710 4.098 6.255
angles: 103.35 101.20 90.03
Last column: magnetic moment on the atom in μB.
Sites, in units of the cell vectors:
1 C 0.243 0.229 0.746  -0.05
2 Mn 0.761 0.602 0.787  1.97
3 Cu 0.079 0.283 0.417  0.01
4 Se 0.945 0.703 0.201  0.01
5 N 0.256 0.932 0.773  -0.04


No. 3
Crystalline GdYH2 at its relaxed geometry, computed with PBE.

Properties
The value obtained for the spin magnetization is 7.3 μB/f.u. As for the raw total energy: -29.289 eV per cell.

abc: 3.653 3.653 6.346
angles: 73.27 73.27 60.00
Last column: magnetic moment on the atom in μB.
Sites, in units of the cell vectors:
1 Y 0.500 0.500 0.500  -0.02
2 H 0.126 0.126 0.622  0.00
3 H 0.874 0.874 0.378  0.00
4 Gd 0.000 0.000 0.000  7.11


No. 4
Crystalline EuZnGa at its relaxed geometry, computed with PBE.

Properties
As for the formation energy: -0.45 eV per atom. The value obtained for the spin magnetization is 7.0 μB/f.u. As for the raw total energy: -31.833 eV per cell.

abc: 5.812 5.812 7.560
angles: 50.57 50.57 46.81
Last column: magnetic moment on the atom in μB.
Sites, in units of the cell vectors:
1 Eu 0.459 0.459 0.296  6.80
2 Eu 0.541 0.541 0.704  6.80
3 Zn 0.834 0.834 0.722  -0.01
4 Zn 0.166 0.166 0.278  -0.01
5 Ga 0.162 0.162 0.892  -0.01
6 Ga 0.838 0.838 0.108  -0.01


No. 5
Crystalline AlPS2Cl at its relaxed geometry, computed with PBE.

Properties
The value obtained for the spin magnetization is 0.0 μB/f.u. The calculation puts the energy relative to the lowest polymorph listed for this composition at 0.000 eV per atom. As for the raw total energy: -18.284 eV per cell.

abc: 4.695 4.695 4.412
angles: 90.00 90.00 90.00
Sites, in units of the cell vectors:
1 P 0.500 0.500 0.500
2 S 0.000 0.500 0.000
3 S 0.500 0.000 0.000
4 Al 0.000 0.000 0.000
5 Cl 0.000 0.000 0.500


No. 6
Crystalline La2CoSb at its relaxed geometry, computed with PBE.

Properties
The value obtained for the spin magnetization is 0.0 μB/f.u. The calculation puts the energy relative to the lowest polymorph listed for this composition at 0.180 eV per atom. As for the raw total energy: -45.117 eV per cell.

abc: 8.135 8.135 6.582
angles: 51.83 51.83 90.00
Sites, in units of the cell vectors:
1 Sb 0.000 0.000 0.000
2 Sb 0.750 0.250 0.500
3 Co 0.500 0.500 0.000
4 Co 0.250 0.750 0.500
5 La 0.555 0.125 0.250
6 La 0.195 0.625 0.250
7 La 0.375 0.445 0.750
8 La 0.875 0.805 0.750